# GGA-PBE Si2IrF2, optimized geometry
# - E_tot: -56.5 eV per cell
# - Offset from the most stable computed form: 0.0 kJ per mole of atoms
# - Theoretical density: 6.4 g/cm³
# - Formation energy from raw total energies: -0.96 eV per atom
data_Si2IrF2
_symmetry_space_group_name_H-M 'P 4/m b m'
_symmetry_Int_Tables_number 127
_symmetry_space_group_name_Hall '-P 4 2ab'
_cell_length_a 6.783
_cell_length_b 6.783
_cell_length_c 3.238
_cell_angle_alpha 90.00
_cell_angle_beta 90.00
_cell_angle_gamma 90.00
loop_
_atom_site_label
_atom_site_type_symbol
_atom_site_fract_x
_atom_site_fract_y
_atom_site_fract_z
_atom_site_occupancy
Si1 Si 0.226 0.274 0.000 1
Ir1 Ir 0.000 0.000 0.000 1
F1 F 0.123 0.377 0.500 1

# GGA-PBE TiAlBr3, optimized geometry
# - E_tot: -19.2 eV per cell
# - Offset from the most stable computed form: 0.0 kJ per mole of atoms
# - Theoretical density: 3.6 g/cm³
# - Formation energy from raw total energies: -0.51 eV per atom
data_TiAlBr3
_symmetry_space_group_name_H-M 'P m -3 m'
_symmetry_Int_Tables_number 221
_symmetry_space_group_name_Hall '-P 4 2 3'
_cell_length_a 5.270
_cell_length_b 5.270
_cell_length_c 5.270
_cell_angle_alpha 90.00
_cell_angle_beta 90.00
_cell_angle_gamma 90.00
loop_
_atom_site_label
_atom_site_type_symbol
_atom_site_fract_x
_atom_site_fract_y
_atom_site_fract_z
_atom_site_occupancy
Ti1 Ti 0.000 0.000 0.000 1
Al1 Al 0.500 0.500 0.500 1
Br1 Br 0.000 0.000 0.500 1

# GGA-PBE Na3Sm2SnSe6, optimized geometry
# - E_tot: -108.8 eV per cell
# - Theoretical density: 5.0 g/cm³
# - Formation energy from raw total energies: -1.34 eV per atom
data_Na3Sm2SnSe6
_symmetry_space_group_name_H-M 'C 1 2/m 1'
_symmetry_Int_Tables_number 12
_cell_length_a 7.294
_cell_length_b 12.632
_cell_length_c 7.417
_cell_angle_alpha 90.00
_cell_angle_beta 109.17
_cell_angle_gamma 90.00
loop_
_symmetry_equiv_pos_as_xyz
'x,y,z'
'-x,-y,-z'
'-x,y,-z'
'x,-y,z'
'x+1/2,y+1/2,z'
'-x+1/2,-y+1/2,-z'
'-x+1/2,y+1/2,-z'
'x+1/2,-y+1/2,z'
loop_
_atom_site_label
_atom_site_type_symbol
_atom_site_fract_x
_atom_site_fract_y
_atom_site_fract_z
_atom_site_occupancy
Na1 Na 0.000 0.000 0.000 1
Na2 Na 0.000 0.336 0.000 1
Sm1 Sm 0.000 0.167 0.500 1
Sn1 Sn 0.000 0.500 0.500 1
Se1 Se 0.242 0.336 0.733 1
Se2 Se 0.249 0.000 0.731 1

# GGA-PBE IrOs3Ru3, optimized geometry
# - E_tot: -199.4 eV per cell
# - Theoretical density: 16.4 g/cm³
# - DFT formation energy: 3.92 eV/f.u.
data_IrOs3Ru3
_symmetry_space_group_name_H-M 'R 3 m'
_symmetry_Int_Tables_number 160
_symmetry_space_group_name_Hall 'R 3 -2"'
_cell_length_a 7.9062
_cell_length_b 7.9062
_cell_length_c 5.9952
_cell_angle_alpha 90.00
_cell_angle_beta 90.00
_cell_angle_gamma 120.00
loop_
_atom_site_label
_atom_site_type_symbol
_atom_site_fract_x
_atom_site_fract_y
_atom_site_fract_z
_atom_site_occupancy
Ir1 Ir 0.0000 0.0000 0.0000 1
Os1 Os 0.0393 0.5197 0.4095 1
Ru1 Ru 0.0877 0.5439 0.9871 1